[1]
Entry from Alexandria via LeMat-Bulk: a relaxed structure of Ac3PmAg2 (PBE-GGA).

Unit cell a=3.9581 b=3.9581 c=13.1077 alpha=90.00 beta=90.00 gamma=90.00
With the nearest neighbours (Å) after each atom.
Element x y z (fractional)
Ac 0.0000 0.0000 0.0000  8 Ag 3.44
Ac 0.0000 0.0000 0.3001  4 Ag 3.40
Ac 0.0000 0.0000 0.6999  4 Ag 3.40
Pm 0.5000 0.5000 0.5000  8 Ac 3.83, 4 Pm 3.96
Ag 0.5000 0.5000 0.1531  8 Ac 3.40-3.44
Ag 0.5000 0.5000 0.8469  8 Ac 3.40-3.44

## Properties
**Calculated total energy**: -3.9478 eV/atom

***

[2]
Entry from Alexandria via LeMat-Bulk: a relaxed structure of Rb2HoCdF6 (PBE-GGA).

Unit cell a=6.6004 b=9.3453 c=6.7043 alpha=90.00 beta=90.00 gamma=90.00
With the nearest neighbours (Å) after each atom.
Element x y z (fractional)
Rb 0.2500 0.0054 0.2332  9 F 3.03-3.30
Rb 0.2500 0.4946 0.2332  9 F 3.03-3.30
Rb 0.7500 0.5054 0.7668  9 F 3.03-3.30
Rb 0.7500 0.9946 0.7668  9 F 3.03-3.30
Ho 0.2500 0.7500 0.7627  6 F 2.16-2.18
Ho 0.7500 0.2500 0.2373  6 F 2.16-2.18
Cd 0.2500 0.2500 0.7375  6 F 2.52-2.54
Cd 0.7500 0.7500 0.2625  6 F 2.52-2.54
F 0.0151 0.7500 0.5377  1 Ho 2.16
F 0.0166 0.7500 0.9930  1 Ho 2.18
F 0.2500 0.5180 0.7823  1 Ho 2.17
F 0.2500 0.9820 0.7823  1 Ho 2.17
F 0.4834 0.7500 0.9930  1 Ho 2.18
F 0.4849 0.7500 0.5377  1 Ho 2.16
F 0.5151 0.2500 0.4623  1 Ho 2.16
F 0.5166 0.2500 0.0070  1 Ho 2.18
F 0.7500 0.0180 0.2177  1 Ho 2.17
F 0.7500 0.4820 0.2177  1 Ho 2.17
F 0.9834 0.2500 0.0070  1 Ho 2.18
F 0.9849 0.2500 0.4623  1 Ho 2.16

## Properties
**Energy relative to the elements, uncorrected**: -2964 meV/atom

***

[3]
Entry from Alexandria via LeMat-Bulk: a relaxed structure of Sm2O (PBE-GGA).

Unit cell a=3.5872 b=3.5872 c=4.9068 alpha=90.00 beta=90.00 gamma=90.00
With the nearest neighbours (Å) after each atom.
Element x y z (fractional)
Sm 0.0000 0.0000 0.0000  2 O 2.45
Sm 0.5000 0.5000 0.5000  4 O 2.54
O 0.0000 0.0000 0.5000  6 Sm 2.45-2.54

## Properties
**Energy relative to the elements, uncorrected**: -1813 meV/atom

***

| no. | total magnetization (μB/f.u.) |
| --- | --- |
| 1 | 0.00 |
| 2 | 0.81 |
| 3 | 0.00 |